A plane-wave DFT calculation with PBE was carried out for a geometry-optimized CePrHoTm3 structure.

D(E_F)	22.5	states/eV/cell
crystal system	orthorhombic
energy of formation	63	meV/atom

Structure (POSCAR):
```
CePrHoTm3
1.0
2.5113 -7.4714 0.0000
2.5113 7.4714 0.0000
0.0000 0.0000 10.0272
Ce Pr Ho Tm
2 2 2 6
direct
0.0000 0.0000 0.2500
0.0000 0.0000 0.7500
0.5000 0.5000 0.0000
0.5000 0.5000 0.5000
0.3318 0.6682 0.7500
0.6682 0.3318 0.2500
0.1668 0.8332 0.0000
0.1668 0.8332 0.5000
0.3321 0.6679 0.2500
0.6679 0.3321 0.7500
0.8332 0.1668 0.0000
0.8332 0.1668 0.5000
```